Here is a PBEsol-optimized structure of Na5CuH2O4 from Alexandria. Energies are from SCAN.

magnetization = 0.01 μB per atom
E_tot = -84.4 eV/f.u.

Unit cell a=5.991 b=8.774 c=11.888 alpha=90.00 beta=90.00 gamma=90.00
Fractional positions:
Na  0.060  0.250  0.042
Na  0.074  0.750  0.203
Na  0.083  0.750  0.728
Na  0.248  0.005  0.360
Na  0.248  0.495  0.360
Na  0.252  0.505  0.860
Na  0.252  0.995  0.860
Na  0.417  0.250  0.228
Na  0.426  0.250  0.703
Na  0.440  0.750  0.542
Na  0.560  0.250  0.458
Na  0.574  0.750  0.297
Na  0.583  0.750  0.772
Na  0.748  0.005  0.140
Na  0.748  0.495  0.140
Na  0.752  0.505  0.640
Na  0.752  0.995  0.640
Na  0.917  0.250  0.272
Na  0.926  0.250  0.797
Na  0.940  0.750  0.958
Cu  0.007  0.250  0.524
Cu  0.493  0.750  0.024
Cu  0.507  0.250  0.976
Cu  0.993  0.750  0.476
H  0.248  0.001  0.119
H  0.248  0.499  0.119
H  0.252  0.501  0.619
H  0.252  0.999  0.619
H  0.748  0.001  0.381
H  0.748  0.499  0.381
H  0.752  0.501  0.881
H  0.752  0.999  0.881
O  0.138  0.045  0.171
O  0.138  0.455  0.171
O  0.199  0.250  0.410
O  0.225  0.750  0.379
O  0.275  0.250  0.879
O  0.301  0.750  0.910
O  0.362  0.545  0.671
O  0.362  0.955  0.671
O  0.638  0.045  0.329
O  0.638  0.455  0.329
O  0.699  0.250  0.090
O  0.725  0.750  0.121
O  0.775  0.250  0.621
O  0.801  0.750  0.590
O  0.862  0.545  0.829
O  0.862  0.955  0.829

Here is a PBEsol-optimized structure of Na2CuH4O4 from Alexandria. Energies are from SCAN.

magnetization = 0.09 μB per atom
E_tot = -76.1 eV/f.u.

Unit cell a=6.612 b=6.553 c=8.942 alpha=90.00 beta=90.00 gamma=90.00
Fractional positions:
Na  0.007  0.198  0.000
Na  0.245  0.504  0.249
Na  0.255  0.004  0.749
Na  0.493  0.698  0.500
Na  0.507  0.302  0.000
Na  0.745  0.996  0.249
Na  0.755  0.496  0.749
Na  0.993  0.802  0.500
Cu  0.228  0.505  0.749
Cu  0.272  0.005  0.249
Cu  0.728  0.995  0.749
Cu  0.772  0.495  0.249
H  0.004  0.242  0.344
H  0.015  0.777  0.150
H  0.083  0.544  0.992
H  0.227  0.320  0.510
H  0.273  0.820  0.010
H  0.417  0.044  0.492
H  0.485  0.277  0.650
H  0.496  0.742  0.844
H  0.504  0.258  0.344
H  0.515  0.723  0.150
H  0.583  0.956  0.992
H  0.727  0.180  0.510
H  0.773  0.680  0.010
H  0.917  0.456  0.492
H  0.985  0.223  0.650
H  0.996  0.758  0.844
O  0.030  0.720  0.741
O  0.055  0.808  0.254
O  0.193  0.466  0.529
O  0.231  0.530  0.971
O  0.269  0.030  0.471
O  0.307  0.966  0.029
O  0.445  0.308  0.754
O  0.470  0.220  0.241
O  0.530  0.780  0.741
O  0.555  0.692  0.254
O  0.693  0.034  0.529
O  0.731  0.970  0.971
O  0.769  0.470  0.471
O  0.807  0.534  0.029
O  0.945  0.192  0.754
O  0.970  0.280  0.241

Here is a PBEsol-optimized structure of Na4CuP6H8O22 from Alexandria. Energies are from SCAN.

magnetization = 0.02 μB per atom
E_tot = -339.6 eV/f.u.

Unit cell a=7.012 b=7.817 c=8.344 alpha=86.87 beta=78.76 gamma=82.03
Fractional positions:
Na  0.107  0.329  0.088
Na  0.337  0.421  0.699
Na  0.663  0.579  0.301
Na  0.893  0.671  0.912
Cu  0.000  0.000  0.500
P  0.210  0.018  0.794
P  0.343  0.717  0.986
P  0.446  0.211  0.341
P  0.554  0.789  0.659
P  0.657  0.283  0.014
P  0.790  0.982  0.206
H  0.050  0.592  0.350
H  0.067  0.391  0.389
H  0.248  0.784  0.303
H  0.261  0.748  0.491
H  0.739  0.252  0.509
H  0.752  0.216  0.697
H  0.933  0.609  0.611
H  0.950  0.408  0.650
O  0.000  0.486  0.327
O  0.000  0.514  0.673
O  0.069  0.935  0.716
O  0.163  0.787  0.417
O  0.171  0.204  0.832
O  0.226  0.586  0.943
O  0.232  0.910  0.961
O  0.237  0.194  0.409
O  0.401  0.710  0.149
O  0.429  0.979  0.685
O  0.450  0.677  0.573
O  0.457  0.280  0.151
O  0.543  0.720  0.849
O  0.550  0.323  0.427
O  0.571  0.021  0.315
O  0.599  0.290  0.851
O  0.763  0.806  0.591
O  0.768  0.090  0.039
O  0.774  0.414  0.057
O  0.829  0.796  0.168
O  0.837  0.213  0.583
O  0.931  0.065  0.284

Here is a PBEsol-optimized structure of NaCu2H3S2O10 from Alexandria. Energies are from SCAN.

magnetization = 0.11 μB per atom
E_tot = -151.8 eV/f.u.

Unit cell a=5.385 b=5.385 c=7.523 alpha=114.60 beta=114.60 gamma=69.29
Fractional positions:
Na  0.000  0.000  0.000
Cu  0.000  0.500  0.500
Cu  0.500  0.000  0.500
H  0.214  0.214  0.729
H  0.786  0.786  0.271
H  0.999  0.999  0.499
S  0.410  0.410  0.193
S  0.590  0.590  0.807
O  0.157  0.157  0.573
O  0.276  0.677  0.754
O  0.284  0.284  0.972
O  0.314  0.314  0.307
O  0.323  0.724  0.246
O  0.677  0.276  0.754
O  0.686  0.686  0.694
O  0.716  0.716  0.028
O  0.724  0.323  0.246
O  0.843  0.843  0.426

Here is a PBEsol-optimized structure of Na2Cu2Si4H4O13 from Alexandria. Energies are from SCAN.

magnetization = 0.08 μB per atom
E_tot = -226.1 eV/f.u.

Unit cell a=5.215 b=6.396 c=8.620 alpha=101.86 beta=94.05 gamma=102.84
Fractional positions:
Na  0.139  0.138  0.295
Na  0.861  0.862  0.705
Cu  0.301  0.613  0.571
Cu  0.699  0.387  0.429
Si  0.028  0.617  0.188
Si  0.389  0.161  0.665
Si  0.611  0.839  0.335
Si  0.972  0.383  0.812
H  0.338  0.243  0.995
H  0.413  0.783  0.905
H  0.587  0.217  0.095
H  0.662  0.757  0.005
O  0.000  0.500  0.000
O  0.019  0.553  0.698
O  0.191  0.229  0.802
O  0.263  0.907  0.583
O  0.318  0.795  0.231
O  0.390  0.327  0.543
O  0.405  0.231  0.103
O  0.595  0.769  0.897
O  0.610  0.673  0.457
O  0.682  0.205  0.769
O  0.737  0.093  0.417
O  0.809  0.771  0.198
O  0.981  0.447  0.302

Here is a PBEsol-optimized structure of Na2CuHPd from Alexandria. Energies are from SCAN.

magnetization = 0.00 μB per atom
E_tot = -59.6 eV/f.u.

Unit cell a=4.710 b=4.710 c=3.484 alpha=90.00 beta=90.00 gamma=90.00
Fractional positions:
Na  0.000  0.500  0.000
Na  0.500  0.000  0.000
Cu  0.000  0.000  0.500
H  0.500  0.500  0.000
Pd  0.500  0.500  0.500

Here is a PBEsol-optimized structure of NaCuHPt2 from Alexandria. Energies are from SCAN.

magnetization = 0.00 μB per atom
E_tot = -163.7 eV/f.u.

Unit cell a=3.876 b=3.876 c=4.109 alpha=90.00 beta=90.00 gamma=90.00
Fractional positions:
Na  0.000  0.000  0.000
Cu  0.500  0.500  0.000
H  0.000  0.000  0.500
Pt  0.000  0.500  0.500
Pt  0.500  0.000  0.500

Here is a PBEsol-optimized structure of CuNiH2 from Alexandria. Energies are from SCAN.

magnetization = 0.00 μB per atom
E_tot = -38.1 eV/f.u.

Unit cell a=4.768 b=4.768 c=4.768 alpha=133.09 beta=133.09 gamma=68.52
Fractional positions:
Cu  0.000  0.000  0.000
Cu  0.750  0.250  0.500
Ni  0.250  0.750  0.500
Ni  0.500  0.500  0.000
H  0.150  0.625  0.025
H  0.375  0.400  0.525
H  0.600  0.125  0.975
H  0.875  0.850  0.475

Here is a PBEsol-optimized structure of CuH3O from Alexandria. Energies are from SCAN.

magnetization = 0.32 μB per atom
E_tot = -27.4 eV/f.u.

Unit cell a=3.201 b=3.201 c=3.201 alpha=90.00 beta=90.00 gamma=90.00
Fractional positions:
Cu  0.000  0.000  0.000
H  0.000  0.000  0.500
H  0.000  0.500  0.000
H  0.500  0.000  0.000
O  0.500  0.500  0.500

Here is a PBEsol-optimized structure of Cu9P4H2O20 from Alexandria. Energies are from SCAN.

magnetization = 0.09 μB per atom
E_tot = -363.8 eV/f.u.

Unit cell a=5.894 b=8.099 c=8.808 alpha=112.98 beta=102.36 gamma=94.69
Fractional positions:
Cu  0.000  0.000  0.000
Cu  0.017  0.321  0.355
Cu  0.182  0.402  0.061
Cu  0.313  0.216  0.680
Cu  0.431  0.182  0.292
Cu  0.569  0.818  0.708
Cu  0.687  0.784  0.320
Cu  0.818  0.598  0.939
Cu  0.983  0.679  0.645
P  0.204  0.754  0.405
P  0.340  0.729  0.968
P  0.660  0.271  0.032
P  0.796  0.246  0.595
H  0.129  0.040  0.379
H  0.871  0.960  0.621
O  0.015  0.836  0.318
O  0.083  0.598  0.436
O  0.154  0.565  0.942
O  0.163  0.239  0.169
O  0.224  0.172  0.435
O  0.274  0.912  0.073
O  0.335  0.712  0.785
O  0.341  0.907  0.583
O  0.368  0.673  0.291
O  0.410  0.279  0.938
O  0.590  0.721  0.062
O  0.632  0.327  0.709
O  0.659  0.093  0.417
O  0.665  0.288  0.215
O  0.726  0.088  0.927
O  0.776  0.828  0.565
O  0.837  0.761  0.831
O  0.846  0.435  0.058
O  0.917  0.402  0.564
O  0.985  0.164  0.682

Here is a PBEsol-optimized structure of Rb2CuH12S2O14 from Alexandria. Energies are from SCAN.

magnetization = 0.03 μB per atom
E_tot = -247.0 eV/f.u.

Unit cell a=6.173 b=12.193 c=9.163 alpha=90.00 beta=104.64 gamma=90.00
Fractional positions:
Rb  0.154  0.152  0.382
Rb  0.154  0.348  0.882
Rb  0.846  0.652  0.118
Rb  0.846  0.848  0.618
Cu  0.500  0.000  0.000
Cu  0.500  0.500  0.500
H  0.171  0.560  0.599
H  0.171  0.940  0.099
H  0.183  0.089  0.805
H  0.183  0.411  0.305
H  0.189  0.642  0.464
H  0.189  0.858  0.964
H  0.416  0.602  0.199
H  0.416  0.898  0.699
H  0.422  0.124  0.770
H  0.422  0.376  0.270
H  0.488  0.696  0.323
H  0.488  0.804  0.823
H  0.512  0.196  0.177
H  0.512  0.304  0.677
H  0.578  0.624  0.730
H  0.578  0.876  0.230
H  0.584  0.102  0.301
H  0.584  0.398  0.801
H  0.811  0.142  0.036
H  0.811  0.358  0.536
H  0.817  0.589  0.695
H  0.817  0.911  0.195
H  0.829  0.060  0.901
H  0.829  0.440  0.401
S  0.224  0.638  0.886
S  0.224  0.862  0.386
S  0.776  0.138  0.614
S  0.776  0.362  0.114
O  0.094  0.571  0.756
O  0.094  0.929  0.256
O  0.095  0.739  0.897
O  0.095  0.761  0.397
O  0.212  0.564  0.500
O  0.212  0.936  0.000
O  0.254  0.571  0.025
O  0.254  0.929  0.525
O  0.343  0.112  0.852
O  0.343  0.388  0.352
O  0.446  0.667  0.860
O  0.446  0.833  0.360
O  0.476  0.120  0.203
O  0.476  0.380  0.703
O  0.524  0.620  0.297
O  0.524  0.880  0.797
O  0.554  0.167  0.640
O  0.554  0.333  0.140
O  0.657  0.612  0.648
O  0.657  0.888  0.148
O  0.746  0.071  0.475
O  0.746  0.429  0.975
O  0.788  0.064  0.000
O  0.788  0.436  0.500
O  0.905  0.239  0.603
O  0.905  0.261  0.103
O  0.906  0.071  0.744
O  0.906  0.429  0.244

> Which of these has the highest E_tot?

CuH3O

> The lowest E_tot belongs to which entry?

Cu9P4H2O20

Please write out number 4 again, unchanged.
Here is a PBEsol-optimized structure of NaCu2H3S2O10 from Alexandria. Energies are from SCAN.

magnetization = 0.11 μB per atom
E_tot = -151.8 eV/f.u.

Unit cell a=5.385 b=5.385 c=7.523 alpha=114.60 beta=114.60 gamma=69.29
Fractional positions:
Na  0.000  0.000  0.000
Cu  0.000  0.500  0.500
Cu  0.500  0.000  0.500
H  0.214  0.214  0.729
H  0.786  0.786  0.271
H  0.999  0.999  0.499
S  0.410  0.410  0.193
S  0.590  0.590  0.807
O  0.157  0.157  0.573
O  0.276  0.677  0.754
O  0.284  0.284  0.972
O  0.314  0.314  0.307
O  0.323  0.724  0.246
O  0.677  0.276  0.754
O  0.686  0.686  0.694
O  0.716  0.716  0.028
O  0.724  0.323  0.246
O  0.843  0.843  0.426